{
  "formula": "CuWF3",
  "functional": "GGA+U",
  "state": "relaxed",
  "cell": [[4.280, 0.000, 0.000], [0.000, 4.280, 0.000], [0.000, 0.000, 4.280]],
  "species": ["Cu", "W", "F", "F", "F"],
  "fractional_positions": [[0.500, 0.500, 0.500], [0.000, 0.000, 0.000], [0.000, 0.500, 0.000], [0.000, 0.000, 0.500], [0.500, 0.000, 0.000]],
  "dos_at_fermi_per_ev_cell": 1.5,
  "dft_energy_ev_per_atom": -4.76,
  "relative_energy_mev_per_atom": 0.0
}